The following is a DFT calculation (GGA-PBEsol) of an optimized crystal structure of Li2AlP.

Cell: 4.7704 4.7704 4.7704 Å, 133.20 133.20 68.35°
Atoms (fractional coordinates):
Li 0.0000 0.0000 0.0000
Li 0.7500 0.2500 0.5000
Al 0.2500 0.7500 0.5000
P 0.5000 0.5000 0.0000

Results
SG: I-4m2 (119)
Energy, eV for the cell shown: -14.9
ΔH_f (0 K), eV/atom: -0.280